This record from Alexandria via LeMat-Bulk describes a relaxed RbTeRhN2 crystal. The functional is PBEsol.

Computed properties:
The calculation puts the density of states at the Fermi level at 2.07 states/eV per atom. As for the space group: No. 123. For the formation energy (no corrections), the calculation gives 2.82 eV/atom. The total energy is -3.1308 eV/atom.

Lattice parameters (Å, degrees): 4.7226 4.7226 6.9162 90.00 90.00 90.00
Fractional coordinates of all 5 atoms:
Rb (0.0000, 0.0000, 0.0000)
N (0.5000, 0.0000, 0.0000)
Rh (0.5000, 0.5000, 0.5000)
N (0.0000, 0.5000, 0.0000)
Te (0.0000, 0.0000, 0.5000)